The following is a DFT calculation (PBE-GGA) of a geometry-optimized GdErPu2 structure.

Calculated values
**Energy relative to the elements**: 269 meV/atom
**Volume**: 117.2 Å³/cell
**SG**: P4/mmm
**ρ**: 11507 kg/m3
**VASP energy**: -11.56 eV/atom
**M_tot**: 5.09 μB/atom

Cell: 4.035 4.035 7.201 Å, 90.00 90.00 90.00°
Each line ends with the local moment (μB).
Atoms (fractional coordinates):
Er  0.500  0.500  0.500  0.39
Gd  0.500  0.500  0.000  7.46
Pu  0.000  0.000  0.251  5.60
Pu  0.000  0.000  0.749  5.60